[1]
Compound: LiHf2InN
Source: Alexandria via LeMat-Bulk
Functional: PBE-GGA
Structure: optimized geometry

Output
Size of the total moment in μB per cell: 0.0
Fermi-level density of states in states/eV/cell: 1.9
Energy relative to the elements, uncorrected in eV/atom: -0.748

The structure in POSCAR format:
```
LiHf2InN
1.0
4.405 0.000 0.000
0.000 4.405 0.000
0.000 0.000 4.278
Li Hf In N
1 2 1 1
Direct
0.000 0.000 0.000 Li
0.000 0.500 0.500 Hf
0.500 0.000 0.500 Hf
0.500 0.500 0.000 In
0.000 0.000 0.500 N
```

---

[2]
Compound: LiHfInO4
Source: Alexandria via LeMat-Bulk
Functional: PBE-GGA
Structure: optimized geometry

Output
Size of the total moment in μB per cell: 0.0
Fermi-level density of states in states/eV/cell: 0.0
Energy relative to the elements, uncorrected in eV/atom: -2.449

The structure in POSCAR format:
```
LiHfInO4
1.0
-3.182 3.196 4.569
3.182 -3.196 4.569
3.182 3.196 -4.569
Li Hf In O
2 2 2 8
Direct
0.366 0.116 0.250 Li
0.634 0.884 0.750 Li
0.000 0.000 0.500 Hf
0.000 0.500 0.000 Hf
0.000 0.500 0.500 In
0.500 0.500 0.000 In
0.215 0.748 0.467 O
0.220 0.252 0.967 O
0.231 0.248 0.517 O
0.231 0.714 0.983 O
0.769 0.286 0.017 O
0.769 0.752 0.483 O
0.780 0.748 0.033 O
0.785 0.252 0.533 O
```

---

[3]
Compound: Li2HfInO
Source: Alexandria via LeMat-Bulk
Functional: PBE-GGA
Structure: optimized geometry

Output
Size of the total moment in μB per cell: 0.0
Fermi-level density of states in states/eV/cell: 1.5
Energy relative to the elements, uncorrected in eV/atom: -1.146

The structure in POSCAR format:
```
Li2HfInO
1.0
4.301 0.000 0.000
0.000 4.301 0.000
0.000 0.000 4.190
Li Hf In O
2 1 1 1
Direct
0.000 0.500 0.000 Li
0.500 0.000 0.000 Li
0.000 0.000 0.500 Hf
0.500 0.500 0.500 In
0.000 0.000 0.000 O
```